(1)
Here is Pm6ScS8 after structural relaxation from the Alexandria database. Energies are from PBE.

```
Pm6ScS8
1.0
-7.907 -0.622 1.076
-2.980 -0.864 7.379
-4.060 6.000 3.404
Pm Sc S
6 1 8
direct
0.000 0.500 0.500
0.500 0.000 0.000
0.500 0.500 0.000
0.000 0.000 0.500
0.000 0.500 0.000
0.500 0.000 0.500
0.000 0.000 0.000
0.750 0.750 0.750
0.250 0.250 0.250
0.763 0.237 0.237
0.237 0.763 0.763
0.237 0.237 0.763
0.763 0.763 0.237
0.763 0.237 0.763
0.237 0.763 0.237
```

Calculated values
Density of states at the Fermi level (states/eV/cell): 7.60
Space-group type: Fm-3m (225)
Formation energy from raw total energies (eV/atom): -2.04



(2)
Here is PuTcS after structural relaxation from the Alexandria database. Energies are from PBE.

```
PuTcS
1.0
3.821 0.000 0.000
-1.910 2.669 0.000
0.000 0.000 10.734
Tc S Pu
2 2 2
direct
0.727 0.454 0.000
0.246 0.493 0.500
0.616 0.232 0.635
0.616 0.232 0.365
0.230 0.461 0.821
0.230 0.461 0.179
```

Calculated values
Density of states at the Fermi level (states/eV/cell): 13.64
Space-group type: Amm2 (38)
Formation energy from raw total energies (eV/atom): -0.31



(3)
Here is KH2Br2 after structural relaxation from the Alexandria database. Energies are from PBE.

```
KH2Br2
1.0
-2.605 -0.130 -2.754
6.136 -3.321 -3.034
-4.395 -6.906 4.483
K H Br
2 4 4
direct
0.777 0.000 0.250
0.223 0.000 0.750
0.636 0.728 0.408
0.908 0.272 0.092
0.364 0.272 0.592
0.092 0.728 0.908
0.408 0.270 0.093
0.139 0.730 0.407
0.592 0.730 0.907
0.861 0.270 0.593
```

Calculated values
E_tot (eV/atom): -2.5715
Density of states at the Fermi level (states/eV/cell): 1.07
Space-group type: C2/c (15)



(4)
Here is LaRuPb after structural relaxation from the Alexandria database. Energies are from PBE.

```
LaRuPb
1.0
-3.641 -2.887 1.835
-3.019 -2.488 -3.106
0.334 -4.971 -0.359
La Pb Ru
1 1 1
direct
0.750 0.750 0.750
0.000 0.000 0.000
0.500 0.500 0.500
```

Calculated values
ΔE_f (eV/f.u.): 2.1
Density of states at the Fermi level (states/eV/cell): 3.00
Space-group type: F-43m (216)



(5)
Here is LaTb6Dy8 after structural relaxation from the Alexandria database. Energies are from PBE.

```
LaTb6Dy8
1.0
9.042 0.000 0.000
4.521 7.830 0.000
4.521 2.610 6.899
La Tb Dy
1 6 8
direct
0.000 0.000 0.000
0.464 0.895 0.875
0.105 0.235 0.125
0.235 0.536 0.125
0.765 0.464 0.875
0.895 0.765 0.875
0.536 0.105 0.125
0.255 0.281 0.576
0.719 0.112 0.424
0.112 0.745 0.424
0.577 0.577 0.269
0.423 0.423 0.731
0.888 0.255 0.576
0.281 0.888 0.576
0.745 0.719 0.424
```

Calculated values
ΔE_f (eV/f.u.): 2.0
Density of states at the Fermi level (states/eV/cell): 23.22
Space-group type: R-3 (148)



(6)
Here is Ba2HfRe after structural relaxation from the Alexandria database. Energies are from PBE.

```
Ba2HfRe
1.0
0.000 3.871 3.871
3.871 0.000 3.871
3.871 3.871 0.000
Re Hf Ba
1 1 2
direct
0.500 0.500 0.500
0.000 0.000 0.000
0.250 0.250 0.250
0.750 0.750 0.750
```

Calculated values
ΔE_f (eV/f.u.): 6.0
Density of states at the Fermi level (states/eV/cell): 4.99
Space-group type: Fm-3m (225)



(7)
Here is Pm3Sm2Ga3 after structural relaxation from the Alexandria database. Energies are from PBE.

```
Pm3Sm2Ga3
1.0
-2.778 2.237 1.130
-3.108 -4.173 0.619
6.379 -0.041 9.569
Pm Sm Ga
3 2 3
direct
0.616 0.616 0.232
0.384 0.384 0.768
0.500 0.000 0.000
0.727 0.227 0.455
0.273 0.773 0.545
0.118 0.118 0.235
0.000 0.500 0.000
0.882 0.882 0.765
```

Calculated values
ΔE_f (eV/f.u.): -3.3
Density of states at the Fermi level (states/eV/cell): 5.84
Space-group type: Immm (71)



- The lowest density of states at the Fermi level belongs to which entry?
  KH2Br2